No. 1
Density functional theory data (PBE) for Rb3NaIn2Br9 after structural relaxation.

Summary:
The total energy comes out at -2.9195 eV per atom. Its calculated density is 3.78 g cm⁻³.

Cell and atoms, written as POSCAR:
```
Rb3NaIn2Br9
1.0
-4.0299 -4.4752 5.2110
6.5802 -2.8618 -3.4545
5.4334 3.6438 7.3311
Br Rb In Na
9 3 2 1
direct
0.3391 0.1695 0.6751
0.6609 0.8305 0.3249
0.8305 0.6609 0.6751
0.8305 0.1695 0.6751
0.5000 0.0000 0.0000
0.1695 0.3391 0.3249
0.1695 0.8305 0.3249
0.5000 0.5000 0.0000
0.0000 0.5000 0.0000
0.6667 0.3333 0.3429
0.3333 0.6667 0.6571
0.0000 0.0000 0.0000
0.3333 0.6667 0.1702
0.6667 0.3333 0.8298
0.0000 0.0000 0.5000
```

=====

No. 2
Density functional theory data (PBE) for Na2InSbBr6 after structural relaxation.

Summary:
The total energy comes out at -2.9491 eV per atom. Its calculated density is 3.63 g cm⁻³.

Cell and atoms, written as POSCAR:
```
Na2InSbBr6
1.0
-0.2234 0.8520 7.5535
-6.5100 -1.1284 3.7650
-0.6139 -6.8018 4.5795
Br Na Sb In
6 2 1 1
direct
0.9390 0.5837 0.2398
0.1386 0.3826 0.7662
0.2375 0.9390 0.2398
0.7127 0.1385 0.7662
0.3826 0.7127 0.7662
0.5836 0.2375 0.2399
0.5204 0.5204 0.4391
0.0044 0.0044 0.9868
0.3270 0.3270 0.0190
0.8158 0.8159 0.5522
```

=====

No. 3
Density functional theory data (PBE) for NaScIn2Br6 after structural relaxation.

Summary:
The total energy comes out at -3.5708 eV per atom. Its calculated density is 3.83 g cm⁻³.

Cell and atoms, written as POSCAR:
```
NaScIn2Br6
1.0
7.8043 0.0015 0.0002
3.9034 6.7581 0.0003
3.9022 2.2537 6.3822
Br In Sc Na
6 2 1 1
direct
0.5615 0.1643 0.2647
0.0095 0.5618 0.2644
0.6412 0.1037 0.7818
0.4734 0.6410 0.7815
0.1642 0.0096 0.2646
0.1040 0.4734 0.7815
0.5368 0.5366 0.3902
0.0333 0.0334 0.9001
0.3213 0.3213 0.0361
0.8164 0.8165 0.5504
```